SiHg2Pt: relaxed, PBE.

CIF file:
```
data_SiHg2Pt
_chemical_formula_sum 'Si1 Hg2 Pt1'
_symmetry_space_group_name_H-M 'P 1'
_symmetry_Int_Tables_number 1
_cell_length_a 3.0252
_cell_length_b 5.2091
_cell_length_c 4.8902
_cell_angle_alpha 90.00
_cell_angle_beta 90.00
_cell_angle_gamma 90.00
loop_
_symmetry_equiv_pos_as_xyz
'x,y,z'
loop_
_atom_site_label
_atom_site_fract_x
_atom_site_fract_y
_atom_site_fract_z
_atom_site_occupancy
Hg1 0.0000 0.0000 0.0000 1
Hg2 0.5000 0.5000 0.0000 1
Pt1 0.5000 0.0000 0.5000 1
Si1 0.0000 0.5000 0.5000 1
```

Values from the calculation:
raw formation energy	0.322	eV/atom
calculated total energy	-10.78	eV/cell

=====

Si2HgPt: relaxed, PBE.

CIF file:
```
data_Si2HgPt
_chemical_formula_sum 'Si2 Hg1 Pt1'
_symmetry_space_group_name_H-M 'P 1'
_symmetry_Int_Tables_number 1
_cell_length_a 4.6174
_cell_length_b 4.6174
_cell_length_c 4.6174
_cell_angle_alpha 60.00
_cell_angle_beta 60.00
_cell_angle_gamma 60.00
loop_
_symmetry_equiv_pos_as_xyz
'x,y,z'
loop_
_atom_site_label
_atom_site_fract_x
_atom_site_fract_y
_atom_site_fract_z
_atom_site_occupancy
Hg1 0.5000 0.5000 0.5000 1
Pt1 0.7500 0.7500 0.7500 1
Si1 0.0000 0.0000 0.0000 1
Si2 0.2500 0.2500 0.2500 1
```

Values from the calculation:
raw formation energy	0.448	eV/atom
calculated total energy	-15.40	eV/cell

=====

SiHgPt2: relaxed, PBE.

CIF file:
```
data_SiHgPt2
_chemical_formula_sum 'Si1 Hg1 Pt2'
_symmetry_space_group_name_H-M 'P 1'
_symmetry_Int_Tables_number 1
_cell_length_a 4.3727
_cell_length_b 3.4523
_cell_length_c 4.9393
_cell_angle_alpha 77.28
_cell_angle_beta 90.00
_cell_angle_gamma 90.00
loop_
_symmetry_equiv_pos_as_xyz
'x,y,z'
loop_
_atom_site_label
_atom_site_fract_x
_atom_site_fract_y
_atom_site_fract_z
_atom_site_occupancy
Hg1 0.5000 0.8103 0.7200 1
Pt1 0.0000 0.9545 0.0904 1
Pt2 0.5000 0.3995 0.2434 1
Si1 0.0000 0.3357 0.4461 1
```

Values from the calculation:
raw formation energy	-0.114	eV/atom
polymorph energy (0 for the lowest one)	187.9	meV per atom
calculated total energy	-18.26	eV/cell

=====

SiHgPt4: relaxed, PBE.

CIF file:
```
data_SiHgPt4
_chemical_formula_sum 'Si1 Hg1 Pt4'
_symmetry_space_group_name_H-M 'P 1'
_symmetry_Int_Tables_number 1
_cell_length_a 5.3346
_cell_length_b 5.3346
_cell_length_c 5.3346
_cell_angle_alpha 60.00
_cell_angle_beta 60.00
_cell_angle_gamma 60.00
loop_
_symmetry_equiv_pos_as_xyz
'x,y,z'
loop_
_atom_site_label
_atom_site_fract_x
_atom_site_fract_y
_atom_site_fract_z
_atom_site_occupancy
Si1 0.7500 0.7500 0.7500 1
Hg1 0.0000 0.0000 0.0000 1
Pt1 0.8747 0.3751 0.3751 1
Pt2 0.3751 0.3751 0.8747 1
Pt3 0.3751 0.8747 0.3751 1
Pt4 0.3751 0.3751 0.3751 1
```

Values from the calculation:
raw formation energy	0.179	eV/atom
calculated total energy	-28.81	eV/cell

=====

Si4HgPt: relaxed, PBE.

CIF file:
```
data_Si4HgPt
_chemical_formula_sum 'Si4 Hg1 Pt1'
_symmetry_space_group_name_H-M 'P 1'
_symmetry_Int_Tables_number 1
_cell_length_a 5.2167
_cell_length_b 5.2167
_cell_length_c 5.2167
_cell_angle_alpha 60.00
_cell_angle_beta 60.00
_cell_angle_gamma 60.00
loop_
_symmetry_equiv_pos_as_xyz
'x,y,z'
loop_
_atom_site_label
_atom_site_fract_x
_atom_site_fract_y
_atom_site_fract_z
_atom_site_occupancy
Si1 0.6255 0.6255 0.1236 1
Si2 0.6255 0.1236 0.6255 1
Si3 0.6255 0.6255 0.6255 1
Si4 0.1236 0.6255 0.6255 1
Hg1 0.2500 0.2500 0.2500 1
Pt1 0.0000 0.0000 0.0000 1
```

Values from the calculation:
raw formation energy	0.559	eV/atom
calculated total energy	-24.68	eV/cell

=====

SiHgPt2: relaxed, PBE.

CIF file:
```
data_SiHgPt2
_chemical_formula_sum 'Si1 Hg1 Pt2'
_symmetry_space_group_name_H-M 'P 1'
_symmetry_Int_Tables_number 1
_cell_length_a 2.9718
_cell_length_b 3.0516
_cell_length_c 7.2439
_cell_angle_alpha 90.00
_cell_angle_beta 90.00
_cell_angle_gamma 90.00
loop_
_symmetry_equiv_pos_as_xyz
'x,y,z'
loop_
_atom_site_label
_atom_site_fract_x
_atom_site_fract_y
_atom_site_fract_z
_atom_site_occupancy
Hg1 0.5000 0.5000 0.7500 1
Pt1 0.0000 0.0000 0.0549 1
Pt2 0.0000 0.0000 0.4451 1
Si1 0.5000 0.5000 0.2500 1
```

Values from the calculation:
raw formation energy	-0.270	eV/atom
polymorph energy (0 for the lowest one)	31.8	meV per atom
calculated total energy	-18.89	eV/cell

=====

SiHg2Pt2: relaxed, PBE.

CIF file:
```
data_SiHg2Pt2
_chemical_formula_sum 'Si2 Hg4 Pt4'
_symmetry_space_group_name_H-M 'P 1'
_symmetry_Int_Tables_number 1
_cell_length_a 6.4205
_cell_length_b 6.4205
_cell_length_c 4.5408
_cell_angle_alpha 90.00
_cell_angle_beta 90.00
_cell_angle_gamma 90.00
loop_
_symmetry_equiv_pos_as_xyz
'x,y,z'
loop_
_atom_site_label
_atom_site_fract_x
_atom_site_fract_y
_atom_site_fract_z
_atom_site_occupancy
Si1 0.0000 0.0000 0.0000 1
Si2 0.5000 0.5000 0.0000 1
Hg1 0.1598 0.6598 0.5000 1
Hg2 0.6598 0.8402 0.5000 1
Hg3 0.8402 0.3402 0.5000 1
Hg4 0.3402 0.1598 0.5000 1
Pt1 0.3405 0.8405 0.0000 1
Pt2 0.8405 0.6595 0.0000 1
Pt3 0.6595 0.1595 0.0000 1
Pt4 0.1595 0.3405 0.0000 1
```

Values from the calculation:
raw formation energy	-0.072	eV/atom
calculated total energy	-36.94	eV/cell

=====

SiHg2Pt: relaxed, PBE.

CIF file:
```
data_SiHg2Pt
_chemical_formula_sum 'Si1 Hg2 Pt1'
_symmetry_space_group_name_H-M 'P 1'
_symmetry_Int_Tables_number 1
_cell_length_a 2.9727
_cell_length_b 2.9727
_cell_length_c 9.7167
_cell_angle_alpha 90.00
_cell_angle_beta 90.00
_cell_angle_gamma 114.88
loop_
_symmetry_equiv_pos_as_xyz
'x,y,z'
loop_
_atom_site_label
_atom_site_fract_x
_atom_site_fract_y
_atom_site_fract_z
_atom_site_occupancy
Hg1 0.0000 0.0000 0.0080 1
Hg2 0.0000 0.0000 0.4920 1
Pt1 0.5000 0.5000 0.2500 1
Si1 0.5000 0.5000 0.7500 1
```

Values from the calculation:
raw formation energy	0.393	eV/atom
calculated total energy	-10.50	eV/cell